Entry 1:
Material: Mg5Cd4Pt
Method: DFT, PBE
State: relaxed

Summary:
DOS at the Fermi energy	0.315	states/eV/atom
VASP energy	-2.03	eV/atom
E_form	-0.2601	eV/atom

extended XYZ file:
```
10
Lattice="3.1714 0.0000 0.0000 0.0000 3.1714 0.0000 0.0000 0.0000 20.3053" Properties=species:S:1:pos:R:3 pbc="T T T"
Mg 0.0000 0.0000 0.0000
Mg 0.0000 0.0000 4.2630
Mg 0.0000 0.0000 8.5715
Mg 0.0000 0.0000 11.7339
Mg 0.0000 0.0000 16.0423
Cd 1.5857 1.5857 2.1362
Cd 1.5857 1.5857 6.3711
Cd 1.5857 1.5857 13.9342
Cd 1.5857 1.5857 18.1691
Pt 1.5857 1.5857 10.1527
```


Entry 2:
Material: TcSb2Pb
Method: DFT, PBE
State: relaxed

Summary:
DOS at the Fermi energy	0.741	states/eV/atom
raw formation energy	0.288	eV/atom
VASP energy	-5.29	eV/atom

extended XYZ file:
```
12
Lattice="3.3654 0.0000 0.0000 -1.6827 2.9145 0.0000 0.0000 0.0000 29.4505" Properties=species:S:1:pos:R:3 pbc="T T T"
Tc 0.0000 0.0000 0.0000
Tc 0.0000 1.9430 19.6337
Tc 1.6827 0.9715 9.8168
Sb 0.0000 0.0000 7.9711
Sb 0.0000 0.0000 14.8038
Sb 0.0000 1.9430 4.9870
Sb 0.0000 1.9430 27.6048
Sb 1.6827 0.9715 17.7879
Sb 1.6827 0.9715 24.6206
Pb 0.0000 0.0000 21.8090
Pb 0.0000 1.9430 11.9921
Pb 1.6827 0.9715 2.1753
```


Entry 3:
Material: Sc3SnS6
Method: DFT, PBE
State: relaxed

Summary:
raw formation energy	-1.445	eV/atom
VASP energy	-6.22	eV/atom

extended XYZ file:
```
20
Lattice="5.4672 3.1565 4.3755 -5.4672 3.1565 4.3755 0.0000 -6.3130 4.3755" Properties=species:S:1:pos:R:3 pbc="T T T"
Sc -3.7117 -1.1037 6.0114
Sc -0.9000 -3.7662 7.1151
Sc -2.8116 2.6626 7.1151
Sc 2.8116 -2.6626 6.0114
Sc 0.9000 3.7662 6.0114
Sc 3.7117 1.1037 7.1151
Sn 0.0000 0.0000 0.0000
Sn 0.0000 0.0000 6.5632
S -3.5579 -3.4632 7.0759
S -4.7782 1.3496 6.0506
S -1.3485 -2.0206 5.2325
S 1.2203 -4.8129 6.0506
S -2.4241 0.1575 7.8940
S -1.0756 2.1781 5.2325
S 1.0756 -2.1781 7.8940
S 2.4241 -0.1575 5.2325
S -1.2203 4.8129 7.0759
S 1.3485 2.0206 7.8940
S 4.7782 -1.3496 7.0759
S 3.5579 3.4632 6.0506
```


Entry 4:
Material: LaNiPbW2
Method: DFT, PBE
State: relaxed

Summary:
DOS at the Fermi energy	1.351	states/eV/atom
VASP energy	-7.05	eV/atom
E_form	1.0120	eV/atom

extended XYZ file:
```
5
Lattice="4.6654 0.0000 0.0000 0.0000 4.6654 0.0000 0.0000 0.0000 5.3004" Properties=species:S:1:pos:R:3 pbc="T T T"
La 0.0000 0.0000 0.0000
Ni 0.0000 0.0000 2.6502
Pb 2.3327 2.3327 0.0000
W 0.0000 2.3327 2.6502
W 2.3327 0.0000 2.6502
```


Entry 5:
Material: BaF
Method: DFT, PBE
State: relaxed

Summary:
DOS at the Fermi energy	0.407	states/eV/atom
raw formation energy	-2.750	eV/atom
VASP energy	-4.65	eV/atom

extended XYZ file:
```
12
Lattice="4.5818 0.0000 0.0000 0.0000 13.1571 0.0000 0.0000 0.0000 6.5686" Properties=species:S:1:pos:R:3 pbc="T T T"
Ba 1.1454 1.1034 1.4004
Ba 1.1454 5.4752 1.4004
Ba 1.1454 9.8678 1.7988
Ba 3.4363 3.2893 4.7698
Ba 3.4363 7.6819 5.1682
Ba 3.4363 12.0537 5.1682
F 1.1454 3.2893 2.8546
F 1.1454 7.8135 6.5138
F 1.1454 11.9222 6.5138
F 3.4363 1.2349 0.0547
F 3.4363 5.3436 0.0547
F 3.4363 9.8678 3.7139
```


Entry 6:
Material: NbGeN
Method: DFT, PBE
State: relaxed

Summary:
relative energy among the computed polymorphs	197	meV/atom
DOS at the Fermi energy	0.393	states/eV/atom
raw formation energy	-0.273	eV/atom
VASP energy	-7.94	eV/atom

extended XYZ file:
```
6
Lattice="1.6111 0.9302 11.2674 -1.6111 0.9302 11.2674 0.0000 -1.8604 11.2674" Properties=species:S:1:pos:R:3 pbc="T T T"
Nb 0.0000 0.0000 3.1533
Nb 0.0000 0.0000 30.6488
Ge 0.0000 0.0000 12.2672
Ge 0.0000 0.0000 21.5350
N 0.0000 0.0000 7.2896
N 0.0000 0.0000 26.5125
```


Entry 7:
Material: LiMg3H6
Method: DFT, PBE
State: relaxed

Summary:
DOS at the Fermi energy	0.109	states/eV/atom
VASP energy	-2.79	eV/atom

extended XYZ file:
```
20
Lattice="8.0788 0.0000 0.0000 0.0000 3.0177 0.0000 -1.9676 0.0000 7.9094" Properties=species:S:1:pos:R:3 pbc="T T T"
Li 0.2433 0.7544 1.3297
Li 5.8678 2.2633 6.5797
Mg 0.1984 0.7544 4.5842
Mg 0.5811 2.2633 7.6746
Mg 3.0715 0.7544 2.5042
Mg 3.0397 2.2633 5.4052
Mg 5.5301 0.7544 0.2349
Mg 5.9128 2.2633 3.3252
H -0.1851 2.2633 3.2504
H -0.9109 0.7544 7.3440
H 0.6461 2.2633 5.7253
H 1.7956 2.2633 1.7638
H 2.1889 0.7544 4.3851
H 3.4129 0.7544 0.5968
H 2.6982 2.2633 7.3126
H 3.9223 2.2633 3.5243
H 4.3156 0.7544 6.1456
H 5.4651 0.7544 2.1841
H 7.0221 2.2633 0.5654
H 6.2962 0.7544 4.6591
```


Entry 8:
Material: HgSb2Os2
Method: DFT, PBE
State: relaxed

Summary:
relative energy among the computed polymorphs	0	meV/atom
DOS at the Fermi energy	0.754	states/eV/atom
raw formation energy	0.378	eV/atom
VASP energy	-5.82	eV/atom

extended XYZ file:
```
10
Lattice="3.8538 0.0000 0.0000 0.0000 3.8538 0.0000 0.0000 0.0000 17.3538" Properties=species:S:1:pos:R:3 pbc="T T T"
Hg 0.0000 0.0000 0.0000
Hg 1.9269 1.9269 8.6769
Sb 0.0000 0.0000 6.2230
Sb 0.0000 0.0000 11.1308
Sb 1.9269 1.9269 2.4539
Sb 1.9269 1.9269 14.8999
Os 0.0000 1.9269 4.3385
Os 0.0000 1.9269 13.0154
Os 1.9269 0.0000 4.3385
Os 1.9269 0.0000 13.0154
```